Material: Sc7Cr5Ge9
Method: DFT, PBE-GGA
State: relaxed

Raw total energy = -6.942 eV per atom
Space-group type = Fmmm, No. 69

POSCAR file:
```
Sc7Cr5Ge9
1.0
-2.472 2.460 9.329
-0.157 -9.660 2.419
5.512 -3.279 7.599
Ge Cr Sc
18 10 14
Cartesian
1.671 -7.033 4.439
1.707 -1.349 2.938
2.666 -6.951 13.086
0.318 0.050 8.476
-1.253 0.011 4.959
0.140 -5.641 9.941
1.175 -9.130 16.409
-2.240 -2.690 9.366
0.216 -3.528 6.261
2.564 -10.529 10.870
1.211 -3.446 14.908
-1.376 -7.211 6.789
-2.181 0.937 8.460
-0.390 -4.510 2.382
-0.448 -8.137 3.287
0.862 -2.210 11.401
2.020 -8.269 7.946
2.743 -4.838 9.406
4.145 -6.428 8.030
-1.201 -0.566 10.426
4.084 -9.913 8.920
2.510 -1.676 13.617
-1.262 -4.050 11.317
-0.521 -7.932 9.104
-0.323 -0.885 1.444
-2.306 -6.315 10.304
0.373 -8.803 5.730
3.403 -2.547 10.243
2.248 -7.604 10.450
0.993 -6.396 15.193
1.575 -9.445 13.454
1.665 -4.555 12.189
1.217 -5.924 7.158
-0.903 -5.755 4.646
0.635 -2.875 8.896
-1.726 -1.445 7.102
1.890 -4.083 4.154
-0.842 -2.305 3.761
-0.408 -7.095 12.309
3.291 -3.383 7.037
1.307 -1.033 5.892
-1.788 -4.895 7.987
```

---

Material: ScCrGe2
Method: DFT, PBE-GGA
State: relaxed

Energy relative to the lowest polymorph listed for this composition = 0.0 meV/atom
Raw total energy = -6.785 eV per atom
Space-group type = Pbam, No. 55

POSCAR file:
```
ScCrGe2
1.0
8.163 0.000 0.000
0.000 9.401 0.000
0.000 0.000 10.119
Ge Cr Sc
24 12 12
Cartesian
1.308 6.333 8.279
6.855 7.769 3.219
4.082 9.023 8.900
0.000 1.176 4.122
0.000 9.097 8.859
4.082 3.450 9.118
4.082 4.323 6.279
1.308 1.632 6.900
1.308 3.068 1.840
0.000 8.226 5.997
4.082 1.251 4.058
0.000 5.876 0.937
6.855 3.068 1.840
0.000 5.005 3.799
6.855 6.333 8.279
0.000 4.396 6.320
6.855 1.632 6.900
0.000 3.525 9.182
4.082 8.150 6.061
4.082 5.079 3.840
1.308 7.769 3.219
4.082 5.952 1.001
4.082 0.378 1.220
0.000 0.305 1.261
6.119 5.430 2.472
2.080 0.000 5.060
6.119 0.729 2.587
6.083 0.000 5.060
2.080 4.701 0.000
2.044 3.971 7.647
2.044 8.672 7.532
6.083 4.701 0.000
6.119 3.971 7.647
2.044 5.430 2.472
2.044 0.729 2.587
6.119 8.672 7.532
6.072 7.804 0.465
6.072 3.103 4.595
2.091 3.103 4.595
4.082 6.258 8.296
6.072 6.298 5.525
2.091 6.298 5.525
4.082 3.143 1.823
4.082 7.843 3.237
4.082 1.558 6.883
2.091 1.598 9.655
2.091 7.804 0.465
6.072 1.598 9.655
```

---

Material: ScCrGe
Method: DFT, PBE-GGA
State: relaxed

Raw total energy = -7.123 eV per atom
Space-group type = Imm2, No. 44

POSCAR file:
```
ScCrGe
1.0
6.187 0.000 0.000
0.000 4.271 0.000
0.000 0.000 7.646
Cr Ge Sc
4 4 4
Cartesian
2.159 0.000 3.301
5.253 2.136 7.124
4.027 0.000 3.301
0.934 2.136 7.124
4.420 2.136 4.689
4.860 0.000 0.865
1.327 0.000 0.865
1.767 2.136 4.689
3.093 2.136 1.518
0.000 2.136 2.396
0.000 0.000 5.341
3.093 0.000 6.219
```

---

Material: Sc2Cr3Ge4
Method: DFT, PBE-GGA
State: relaxed

Raw total energy = -7.088 eV per atom
Space-group type = P2_1/c, No. 14

POSCAR file:
```
Sc2Cr3Ge4
1.0
-4.882 -2.546 -3.604
2.140 -4.501 4.446
-4.449 2.260 4.430
Sc Cr Ge
4 6 8
Cartesian
-3.431 -3.282 4.963
-6.583 -4.194 3.869
-3.759 -1.505 0.309
-0.607 -0.593 1.402
-0.319 -3.667 3.161
-1.154 -1.120 4.438
-1.371 -3.523 0.421
-3.632 -0.253 3.118
-6.871 -1.120 2.110
-3.558 -4.534 2.154
-6.420 -1.378 -0.266
-5.802 0.822 3.351
-4.891 -2.420 2.753
-0.770 -3.409 5.538
-3.759 -4.138 -0.260
-2.299 -2.367 2.519
-1.388 -5.609 1.921
-3.431 -0.649 5.531
```

---

Material: ScCrGe
Method: DFT, PBE-GGA
State: relaxed

Raw total energy = -7.120 eV per atom
Space-group type = R-3m, No. 166

POSCAR file:
```
ScCrGe
1.0
-0.458 -3.995 1.355
-0.687 0.949 -4.079
20.125 -3.753 -4.263
Sc Cr Ge
6 6 6
Cartesian
1.637 -2.752 -0.916
4.538 -0.846 -0.961
10.712 -4.445 -2.838
15.588 -2.907 -3.302
8.269 -2.355 -4.148
17.344 -4.048 -6.070
6.987 -1.303 -1.480
13.161 -4.901 -3.357
13.139 -2.450 -2.783
19.313 -6.049 -4.660
-0.332 -0.751 -2.326
5.819 -1.898 -3.629
2.744 -1.325 -2.978
16.237 -5.475 -4.008
10.063 -1.877 -2.131
12.806 -3.201 -5.109
6.174 -3.598 -1.877
0.000 0.000 0.000
```

---

Material: ScCrGe
Method: DFT, PBE-GGA
State: relaxed

Raw total energy = -7.183 eV per atom
Space-group type = P3m1, No. 156

POSCAR file:
```
ScCrGe
1.0
4.300 0.000 0.000
-2.150 3.724 0.000
0.000 0.000 6.509
Cr Sc Ge
2 2 2
Cartesian
0.000 2.483 3.871
2.150 1.241 3.391
0.000 0.000 5.361
0.000 2.483 1.082
2.150 1.241 6.293
0.000 0.000 2.595
```